Entry 1:
Entry from the Alexandria database: crystalline Sr7Re4O19 at its relaxed geometry (PBEsol).

Results
Mass density: 7.1 g/cm3
Raw total energy: -7.882 eV/atom
Size of the total moment: 1.670 μB/f.u.
DOS at the Fermi energy: 10.378 states/eV per cell
Uncorrected formation energy: -226.8 kJ per mole of atoms

a b c (Å): 7.350 7.350 10.382
angles (deg): 98.08 98.08 44.38
Element x y z (fractional)
Sr (0.000, 0.000, 0.000)
Sr (0.084, 0.084, 0.664)
Sr (0.289, 0.289, 0.912)
Sr (0.359, 0.359, 0.543)
Sr (0.641, 0.641, 0.457)
Sr (0.711, 0.711, 0.088)
Sr (0.916, 0.916, 0.336)
Re (0.170, 0.170, 0.280)
Re (0.466, 0.466, 0.177)
Re (0.534, 0.534, 0.823)
Re (0.830, 0.830, 0.720)
O (0.016, 0.499, 0.347)
O (0.102, 0.102, 0.431)
O (0.127, 0.621, 0.126)
O (0.184, 0.675, 0.784)
O (0.196, 0.196, 0.112)
O (0.325, 0.816, 0.216)
O (0.379, 0.873, 0.874)
O (0.454, 0.454, 0.355)
O (0.499, 0.016, 0.347)
O (0.500, 0.500, 0.000)
O (0.501, 0.984, 0.653)
O (0.546, 0.546, 0.645)
O (0.621, 0.127, 0.126)
O (0.675, 0.184, 0.784)
O (0.804, 0.804, 0.888)
O (0.816, 0.325, 0.216)
O (0.873, 0.379, 0.874)
O (0.898, 0.898, 0.569)
O (0.984, 0.501, 0.653)

Entry 2:
Entry from the Alexandria database: crystalline SrReO3 at its relaxed geometry (PBEsol).

Results
Mass density: 6.5 g/cm3
Raw total energy: -5.321 eV/atom
Size of the total moment: 4.311 μB/f.u.
DOS at the Fermi energy: 6.999 states/eV per cell
Uncorrected formation energy: 83.3 kJ per mole of atoms

a b c (Å): 4.356 4.356 4.356
angles (deg): 90.00 90.00 90.00
Element x y z (fractional)
Sr (0.000, 0.000, 0.000)
Re (0.500, 0.500, 0.500)
O (0.000, 0.000, 0.500)
O (0.000, 0.500, 0.000)
O (0.500, 0.000, 0.000)

Entry 3:
Entry from the Alexandria database: crystalline Sr3ReO at its relaxed geometry (PBEsol).

Results
Mass density: 6.3 g/cm3
Raw total energy: -5.102 eV/atom
Size of the total moment: 2.035 μB/f.u.
DOS at the Fermi energy: 6.336 states/eV per cell
Uncorrected formation energy: -27.1 kJ per mole of atoms

a b c (Å): 4.963 4.963 4.963
angles (deg): 90.00 90.00 90.00
Element x y z (fractional)
Sr (0.000, 0.000, 0.500)
Sr (0.000, 0.500, 0.000)
Sr (0.500, 0.000, 0.000)
Re (0.500, 0.500, 0.500)
O (0.000, 0.000, 0.000)